A plane-wave DFT calculation with GGA-PBE was carried out for crystalline LiScBe at its relaxed geometry. Values from VASP.

Quantum ESPRESSO input file:
```
&SYSTEM
  ibrav = 0, nat = 3, ntyp = 3
/
ATOMIC_SPECIES
Be 9.01 Be.upf
Li 6.94 Li.upf
Sc 44.96 Sc.upf
ATOMIC_POSITIONS crystal
Be 0.7500 0.7500 0.7500
Li 0.0000 0.0000 0.0000
Sc 0.5000 0.5000 0.5000
CELL_PARAMETERS angstrom
4.3120 0.0000 0.0000
2.1560 3.7343 0.0000
2.1560 1.2448 3.5208
```

Values from the calculation:
- Total magnetic moment: 0.717 μB/f.u.
- Polymorph energy (0 for the lowest one): 0.273 eV/atom
- Calculated formation energy: 477 meV/atom